An optimized crystal structure of MgMnAs. Source: Alexandria, functional PBEsol. Values from VASP.

Computed properties:
ΔE_f   0.0606 eV/atom

Quantum ESPRESSO input file:
```
&SYSTEM
  ibrav = 0, nat = 3, ntyp = 3
/
ATOMIC_SPECIES
Mg 24.30 Mg.upf
Mn 54.94 Mn.upf
As 74.92 As.upf
ATOMIC_POSITIONS crystal
Mg 0.000 0.000 0.000
Mn 0.750 0.750 0.750
As 0.500 0.500 0.500
CELL_PARAMETERS angstrom
0.000 3.007 3.007
3.007 0.000 3.007
3.007 3.007 0.000
```

***

An optimized crystal structure of MgCoSe. Source: Alexandria, functional PBEsol. Values from VASP.

Computed properties:
Uncorrected formation energy   -0.63 eV per formula unit

Quantum ESPRESSO input file:
```
&SYSTEM
  ibrav = 0, nat = 3, ntyp = 3
/
ATOMIC_SPECIES
Mg 24.30 Mg.upf
Co 58.93 Co.upf
Se 78.96 Se.upf
ATOMIC_POSITIONS crystal
Mg 0.000 0.000 0.000
Co 0.250 0.250 0.250
Se 0.500 0.500 0.500
CELL_PARAMETERS angstrom
0.000 2.856 2.856
2.856 0.000 2.856
2.856 2.856 0.000
```

***

no.,total energy (eV per atom),total moment (Bohr magnetons per cell),D(E_F) (states/eV/atom)
1,-5.47,3.714,0.7748
2,-4.65,0.090,1.1738